A relaxed structure of ZnGaAu6. Source: Alexandria via LeMat-Bulk, functional GGA-PBE.

Geometry as POSCAR:
```
ZnGaAu6
1.0
4.331 0.357 -1.425
-1.340 4.133 -1.428
0.182 0.277 7.405
Zn Ga Au
1 1 6
Direct
0.000 0.000 0.000 Zn
0.500 0.500 0.000 Ga
0.613 0.113 0.227 Au
0.887 0.387 0.773 Au
0.250 0.250 0.499 Au
0.113 0.613 0.227 Au
0.387 0.887 0.773 Au
0.750 0.750 0.501 Au
```

Summary:
The calculation puts the excess energy over the best structure of this formula in the dataset at 0.000 eV/atom. The calculated formation energy is -0.083 eV/atom. As for the space group: C2/m (12). The total energy comes out at -3.08 eV/atom.